Computed, not measured: a relaxed Pm2PrS3 crystal at the PBE level of DFT.

a b c (Å): 4.063 5.736 7.023
angles (deg): 114.10 106.81 90.00
Sites, in units of the cell vectors:
1 S 0.500 0.000 0.500
2 Pm 0.835 0.835 0.170
3 S 0.170 0.670 0.841
4 Pm 0.165 0.165 0.830
5 Pr 0.500 0.500 0.500
6 S 0.830 0.330 0.159

Computed properties:
Space group   Immm, No. 71
Total magnetic moment   0.00 μB/cell
ΔE_f (raw)   -2027.4 meV per atom



Computed, not measured: a relaxed CrReNi2 crystal at the PBE level of DFT.

a b c (Å): 5.634 4.554 2.545
angles (deg): 89.86 63.40 119.57
Sites, in units of the cell vectors:
1 Ni 0.500 0.000 0.500
2 Ni 0.000 0.000 0.000
3 Cr 0.500 0.500 0.000
4 Re 0.000 0.500 0.500

Computed properties:
Space group   C2/m, No. 12
Total magnetic moment   1.03 μB/cell
Formation enthalpy at 0 K   0.0567 eV per atom



Computed, not measured: a relaxed Li6Pm2Ge3 crystal at the PBE level of DFT.

a b c (Å): 4.115 7.898 7.898
angles (deg): 120.00 90.00 90.00
Sites, in units of the cell vectors:
1 Ge 0.500 0.612 0.000
2 Li 0.500 0.000 0.284
3 Li 0.000 0.794 0.000
4 Pm 0.000 0.667 0.333
5 Li 0.000 0.206 0.206
6 Ge 0.500 0.388 0.388
7 Ge 0.500 0.000 0.612
8 Li 0.500 0.284 0.000
9 Li 0.000 0.000 0.794
10 Li 0.500 0.716 0.716
11 Pm 0.000 0.333 0.667

Computed properties:
Space group   P-62m, No. 189
Total magnetic moment   0.00 μB/cell
Formation enthalpy at 0 K   -0.3745 eV per atom



Computed, not measured: a relaxed PmBe4Pt3O12 crystal at the PBE level of DFT.

a b c (Å): 6.326 6.326 6.326
angles (deg): 105.02 105.02 105.02
Sites, in units of the cell vectors:
1 O 0.085 0.915 0.500
2 O 0.346 0.654 0.500
3 Pt 0.000 0.565 0.435
4 O 0.225 0.350 0.960
5 O 0.775 0.040 0.650
6 O 0.915 0.500 0.085
7 O 0.500 0.085 0.915
8 Be 0.500 0.928 0.072
9 Be 0.500 0.500 0.500
10 O 0.650 0.775 0.040
11 O 0.654 0.500 0.346
12 O 0.040 0.650 0.775
13 Be 0.928 0.072 0.500
14 O 0.350 0.960 0.225
15 O 0.960 0.225 0.350
16 Pt 0.435 0.000 0.565
17 Be 0.072 0.500 0.928
18 Pt 0.565 0.435 0.000
19 O 0.500 0.346 0.654
20 Pm 0.000 0.000 0.000

Computed properties:
Space group   R32, No. 155
Total magnetic moment   0.00 μB/cell
ΔE_f (raw)   -1606.8 meV per atom



Computed, not measured: a relaxed Li2Pu2P3 crystal at the PBE level of DFT.

a b c (Å): 4.043 7.568 9.319
angles (deg): 82.24 77.47 74.51
Sites, in units of the cell vectors:
1 Li 0.420 0.511 0.649
2 P 0.926 0.029 0.120
3 P 0.074 0.971 0.880
4 P 0.636 0.208 0.521
5 Pu 0.392 0.266 0.950
6 P 0.838 0.501 0.822
7 P 0.364 0.792 0.479
8 Li 0.954 0.760 0.332
9 P 0.162 0.499 0.178
10 Pu 0.270 0.134 0.326
11 Li 0.580 0.489 0.351
12 Pu 0.730 0.866 0.674
13 Pu 0.608 0.734 0.050
14 Li 0.046 0.240 0.668

Computed properties:
Space group   C2/m, No. 12
Total magnetic moment   20.00 μB/cell
Formation enthalpy at 0 K   -0.8818 eV per atom



Computed, not measured: a relaxed LiP2Pb crystal at the PBE level of DFT.

a b c (Å): 5.249 3.256 22.558
angles (deg): 90.00 90.00 90.00
Sites, in units of the cell vectors:
1 P 0.322 0.750 0.395
2 Li 0.019 0.750 0.570
3 Pb 0.268 0.250 0.680
4 Li 0.019 0.750 0.930
5 P 0.322 0.750 0.105
6 P 0.421 0.250 0.530
7 Pb 0.732 0.750 0.320
8 P 0.579 0.750 0.030
9 Li 0.981 0.250 0.070
10 P 0.421 0.250 0.970
11 Pb 0.268 0.250 0.820
12 P 0.678 0.250 0.605
13 Li 0.981 0.250 0.430
14 Pb 0.732 0.750 0.180
15 P 0.678 0.250 0.895
16 P 0.579 0.750 0.470

Computed properties:
Space group   Pmmn, No. 59
Total magnetic moment   0.00 μB/cell
Formation enthalpy at 0 K   -0.0527 eV per atom



Computed, not measured: a relaxed Dy2YErTm5 crystal at the PBE level of DFT.

a b c (Å): 8.795 8.795 9.582
angles (deg): 117.32 117.32 90.00
Sites, in units of the cell vectors:
1 Tm 0.339 0.839 0.266
2 Tm 0.500 0.500 0.000
3 Dy 0.113 0.387 0.000
4 Tm 0.428 0.339 0.266
5 Tm 0.161 0.072 0.734
6 Tm 0.572 0.661 0.734
7 Dy 0.887 0.613 0.000
8 Tm 0.661 0.161 0.734
9 Dy 0.613 0.113 0.000
10 Y 0.750 0.750 0.500
11 Er 0.250 0.750 0.500
12 Y 0.250 0.250 0.500
13 Tm 0.928 0.428 0.266
14 Dy 0.387 0.887 0.000
15 Tm 0.000 0.000 0.000
16 Tm 0.839 0.928 0.266
17 Tm 0.072 0.572 0.734
18 Er 0.750 0.250 0.500

Computed properties:
Space group   I4/mcm, No. 140
Total magnetic moment   0.00 μB/cell
Formation enthalpy at 0 K   0.2998 eV per atom



Computed, not measured: a relaxed LaEr2TmAs4 crystal at the PBE level of DFT.

a b c (Å): 4.158 7.194 7.192
angles (deg): 70.56 90.00 90.00
Sites, in units of the cell vectors:
1 Er 0.500 0.000 0.500
2 Tm 0.000 0.500 0.500
3 As 0.000 0.760 0.739
4 La 0.500 0.500 0.000
5 As 0.500 0.246 0.744
6 Er 0.000 0.000 0.000
7 As 0.500 0.754 0.256
8 As 0.000 0.240 0.261

Computed properties:
Space group   P2/m, No. 10
Total magnetic moment   0.00 μB/cell
Formation enthalpy at 0 K   -1.5068 eV per atom



Computed, not measured: a relaxed YIn2Co2 crystal at the PBE level of DFT.

a b c (Å): 4.262 4.262 6.088
angles (deg): 69.51 69.51 90.00
Sites, in units of the cell vectors:
1 In 0.250 0.750 0.500
2 Co 0.601 0.601 0.799
3 In 0.750 0.250 0.500
4 Co 0.399 0.399 0.201
5 Y 0.000 0.000 0.000

Computed properties:
Space group   I4/mmm, No. 139
Total magnetic moment   0.00 μB/cell
Formation enthalpy at 0 K   -0.0908 eV per atom



Computed, not measured: a relaxed PmZrAgSb crystal at the PBE level of DFT.

a b c (Å): 5.139 5.139 5.139
angles (deg): 60.00 60.00 60.00
Sites, in units of the cell vectors:
1 Pm 0.750 0.750 0.750
2 Sb 0.000 0.000 0.000
3 Ag 0.500 0.500 0.500
4 Zr 0.250 0.250 0.250

Computed properties:
Space group   F-43m, No. 216
Total magnetic moment   0.11 μB/cell
ΔE_f (raw)   -358.9 meV per atom



Computed, not measured: a relaxed OsPtRh4 crystal at the PBE level of DFT.

a b c (Å): 5.297 5.297 6.905
angles (deg): 90.00 90.00 90.00
Sites, in units of the cell vectors:
1 Pt 0.500 0.000 0.750
2 Os 0.000 0.000 0.500
3 Rh 0.625 0.223 0.096
4 Rh 0.777 0.625 0.904
5 Rh 0.375 0.777 0.096
6 Rh 0.777 0.375 0.596
7 Pt 0.000 0.500 0.250
8 Rh 0.375 0.223 0.404
9 Os 0.000 0.000 0.000
10 Rh 0.625 0.777 0.404
11 Rh 0.223 0.375 0.904
12 Rh 0.223 0.625 0.596

Computed properties:
Space group   P-42c, No. 112
Total magnetic moment   0.00 μB/cell
Formation enthalpy at 0 K   0.5691 eV per atom



Computed, not measured: a relaxed Rb2TeHF6 crystal at the PBE level of DFT.

a b c (Å): 6.865 6.865 6.289
angles (deg): 56.92 56.92 90.00
Sites, in units of the cell vectors:
1 F 0.786 0.214 0.000
2 H 0.500 0.500 0.000
3 F 0.355 0.355 0.290
4 F 0.786 0.786 0.000
5 Rb 0.750 0.250 0.500
6 Rb 0.250 0.750 0.500
7 F 0.214 0.786 0.000
8 F 0.645 0.645 0.710
9 F 0.214 0.214 0.000
10 Te 0.000 0.000 0.000

Computed properties:
Space group   I4/mmm, No. 139
Total energy   -4.104 eV/atom
Total magnetic moment   1.00 μB/cell